# KCa2Be

KCa2Be after structural relaxation (PBE-GGA, Alexandria via LeMat-Bulk).

abc: 7.552 7.552 7.552
angles: 103.26 103.26 122.78
Element x y z (fractional)
K 0.000 0.000 0.000
K 0.750 0.250 0.500
Ca 0.226 0.125 0.601
Ca 0.375 0.774 0.899
Ca 0.524 0.625 0.399
Ca 0.875 0.476 0.101
Be 0.250 0.750 0.500
Be 0.500 0.500 0.000

## Properties
**DFT formation energy**: 548.8 meV/atom
**Crystal system**: tetragonal
**V**: 317.8 Å³ per cell
**ρ**: 1.3 g cm⁻³